An optimized crystal structure of Ba2As2Pt, computed with PBE.

The structure in CIF format:
```
data_Ba2As2Pt
_symmetry_space_group_name_H-M 'P 1'
_symmetry_Int_Tables_number 1
_cell_length_a 6.511
_cell_length_b 6.511
_cell_length_c 11.799
_cell_angle_alpha 107.64
_cell_angle_beta 107.64
_cell_angle_gamma 38.89
loop_
_symmetry_equiv_pos_as_xyz
'x,y,z'
loop_
_atom_site_label
_atom_site_fract_x
_atom_site_fract_y
_atom_site_fract_z
Ba1 0.083 0.083 0.398
Ba2 0.305 0.305 0.863
Ba3 0.695 0.695 0.137
Ba4 0.917 0.917 0.602
As1 0.044 0.044 0.912
As2 0.347 0.347 0.352
As3 0.653 0.653 0.648
As4 0.956 0.956 0.088
Pt1 0.429 0.429 0.184
Pt2 0.571 0.571 0.816
```

## Properties
symmetry	C2/m (12)
formation enthalpy at 0 K	-0.991	eV per atom
offset from the most stable computed form	0	meV per atom

=====

An optimized crystal structure of Ba2As3Pt, computed with PBE.

The structure in CIF format:
```
data_Ba2As3Pt
_symmetry_space_group_name_H-M 'P 1'
_symmetry_Int_Tables_number 1
_cell_length_a 8.895
_cell_length_b 8.890
_cell_length_c 6.710
_cell_angle_alpha 67.87
_cell_angle_beta 67.80
_cell_angle_gamma 44.33
loop_
_symmetry_equiv_pos_as_xyz
'x,y,z'
loop_
_atom_site_label
_atom_site_fract_x
_atom_site_fract_y
_atom_site_fract_z
Ba1 0.237 0.763 0.237
Ba2 0.250 0.250 0.250
Ba3 0.750 0.750 0.750
Ba4 0.763 0.237 0.763
As1 0.162 0.162 0.838
As2 0.197 0.637 0.803
As3 0.363 0.803 0.637
As4 0.637 0.197 0.363
As5 0.803 0.363 0.197
As6 0.838 0.838 0.162
Pt1 0.324 0.324 0.676
Pt2 0.676 0.676 0.324
```

## Properties
symmetry	Fmmm (69)
formation enthalpy at 0 K	-0.872	eV per atom

=====

An optimized crystal structure of BaAsPt4, computed with PBE.

The structure in CIF format:
```
data_BaAsPt4
_symmetry_space_group_name_H-M 'P 1'
_symmetry_Int_Tables_number 1
_cell_length_a 5.528
_cell_length_b 5.528
_cell_length_c 5.528
_cell_angle_alpha 60.00
_cell_angle_beta 60.00
_cell_angle_gamma 60.00
loop_
_symmetry_equiv_pos_as_xyz
'x,y,z'
loop_
_atom_site_label
_atom_site_fract_x
_atom_site_fract_y
_atom_site_fract_z
Ba1 0.000 0.000 0.000
As1 0.250 0.250 0.250
Pt1 0.127 0.624 0.624
Pt2 0.624 0.127 0.624
Pt3 0.624 0.624 0.127
Pt4 0.624 0.624 0.624
```

## Properties
symmetry	F-43m (216)
formation enthalpy at 0 K	-0.209	eV per atom

=====

An optimized crystal structure of BaAsPt, computed with PBE.

The structure in CIF format:
```
data_BaAsPt
_symmetry_space_group_name_H-M 'P 1'
_symmetry_Int_Tables_number 1
_cell_length_a 5.594
_cell_length_b 5.594
_cell_length_c 5.594
_cell_angle_alpha 135.83
_cell_angle_beta 129.62
_cell_angle_gamma 69.21
loop_
_symmetry_equiv_pos_as_xyz
'x,y,z'
loop_
_atom_site_label
_atom_site_fract_x
_atom_site_fract_y
_atom_site_fract_z
Ba1 0.000 0.000 0.000
As1 0.652 0.652 0.000
Pt1 0.398 0.398 0.000
```

## Properties
symmetry	Imm2 (44)
formation enthalpy at 0 K	-0.337	eV per atom

=====

An optimized crystal structure of BaAsPtRh, computed with PBE.

The structure in CIF format:
```
data_BaAsPtRh
_symmetry_space_group_name_H-M 'P 1'
_symmetry_Int_Tables_number 1
_cell_length_a 4.008
_cell_length_b 4.008
_cell_length_c 11.698
_cell_angle_alpha 90.00
_cell_angle_beta 90.00
_cell_angle_gamma 90.00
loop_
_symmetry_equiv_pos_as_xyz
'x,y,z'
loop_
_atom_site_label
_atom_site_fract_x
_atom_site_fract_y
_atom_site_fract_z
Ba1 0.250 0.250 0.214
Ba2 0.750 0.750 0.786
As1 0.250 0.250 0.622
As2 0.750 0.750 0.378
Pt1 0.250 0.750 0.000
Pt2 0.750 0.250 0.000
Rh1 0.250 0.750 0.500
Rh2 0.750 0.250 0.500
```

## Properties
symmetry	P4/nmm (129)
formation enthalpy at 0 K	-0.677	eV per atom

=====

An optimized crystal structure of BaAs2PtRh, computed with PBE.

The structure in CIF format:
```
data_BaAs2PtRh
_symmetry_space_group_name_H-M 'P 1'
_symmetry_Int_Tables_number 1
_cell_length_a 4.746
_cell_length_b 4.746
_cell_length_c 5.413
_cell_angle_alpha 90.00
_cell_angle_beta 90.00
_cell_angle_gamma 90.00
loop_
_symmetry_equiv_pos_as_xyz
'x,y,z'
loop_
_atom_site_label
_atom_site_fract_x
_atom_site_fract_y
_atom_site_fract_z
Ba1 0.000 0.000 0.000
As1 0.000 0.500 0.500
As2 0.500 0.000 0.500
Pt1 0.500 0.500 0.000
Rh1 0.500 0.500 0.500
```

## Properties
symmetry	P4/mmm (123)
formation enthalpy at 0 K	-0.198	eV per atom

=====

An optimized crystal structure of Ba2As4Pt3Rh, computed with PBE.

The structure in CIF format:
```
data_Ba2As4Pt3Rh
_symmetry_space_group_name_H-M 'P 1'
_symmetry_Int_Tables_number 1
_cell_length_a 4.604
_cell_length_b 4.604
_cell_length_c 10.082
_cell_angle_alpha 90.00
_cell_angle_beta 90.00
_cell_angle_gamma 90.00
loop_
_symmetry_equiv_pos_as_xyz
'x,y,z'
loop_
_atom_site_label
_atom_site_fract_x
_atom_site_fract_y
_atom_site_fract_z
Ba1 0.000 0.500 0.245
Ba2 0.500 0.000 0.755
As1 0.000 0.000 0.000
As2 0.000 0.500 0.619
As3 0.500 0.000 0.381
As4 0.500 0.500 0.000
Pt1 0.000 0.500 0.888
Pt2 0.500 0.000 0.112
Pt3 0.500 0.500 0.500
Rh1 0.000 0.000 0.500
```

## Properties
symmetry	P-4m2 (115)
formation enthalpy at 0 K	-0.757	eV per atom

=====

An optimized crystal structure of Ba2AsRuPt, computed with PBE.

The structure in CIF format:
```
data_Ba2AsRuPt
_symmetry_space_group_name_H-M 'P 1'
_symmetry_Int_Tables_number 1
_cell_length_a 6.215
_cell_length_b 6.215
_cell_length_c 4.529
_cell_angle_alpha 90.00
_cell_angle_beta 90.00
_cell_angle_gamma 90.00
loop_
_symmetry_equiv_pos_as_xyz
'x,y,z'
loop_
_atom_site_label
_atom_site_fract_x
_atom_site_fract_y
_atom_site_fract_z
Ba1 0.000 0.500 0.000
Ba2 0.500 0.000 0.000
As1 0.000 0.000 0.000
Ru1 0.000 0.000 0.500
Pt1 0.500 0.500 0.500
```

## Properties
symmetry	P4/mmm (123)
formation enthalpy at 0 K	0.035	eV per atom

=====

An optimized crystal structure of BaAs2PtS8, computed with PBE.

The structure in CIF format:
```
data_BaAs2PtS8
_symmetry_space_group_name_H-M 'P 1'
_symmetry_Int_Tables_number 1
_cell_length_a 6.012
_cell_length_b 6.012
_cell_length_c 8.970
_cell_angle_alpha 90.00
_cell_angle_beta 90.00
_cell_angle_gamma 120.00
loop_
_symmetry_equiv_pos_as_xyz
'x,y,z'
loop_
_atom_site_label
_atom_site_fract_x
_atom_site_fract_y
_atom_site_fract_z
Ba1 0.000 0.000 0.000
As1 0.333 0.667 0.724
As2 0.667 0.333 0.276
Pt1 0.000 0.000 0.500
S1 0.028 0.702 0.333
S2 0.298 0.326 0.333
S3 0.326 0.028 0.667
S4 0.333 0.667 0.963
S5 0.667 0.333 0.037
S6 0.674 0.972 0.333
S7 0.702 0.674 0.667
S8 0.972 0.298 0.667
```

## Properties
energy relative to the elements, uncorrected	-0.38	eV/atom
symmetry	P-3 (147)

=====

An optimized crystal structure of Ba4Sb2As2Pt, computed with PBE.

The structure in CIF format:
```
data_Ba4Sb2As2Pt
_symmetry_space_group_name_H-M 'P 1'
_symmetry_Int_Tables_number 1
_cell_length_a 6.988
_cell_length_b 6.988
_cell_length_c 6.466
_cell_angle_alpha 92.41
_cell_angle_beta 92.41
_cell_angle_gamma 83.12
loop_
_symmetry_equiv_pos_as_xyz
'x,y,z'
loop_
_atom_site_label
_atom_site_fract_x
_atom_site_fract_y
_atom_site_fract_z
Ba1 0.106 0.617 0.761
Ba2 0.383 0.894 0.239
Ba3 0.617 0.106 0.761
Ba4 0.894 0.383 0.239
Sb1 0.105 0.105 0.666
Sb2 0.895 0.895 0.334
As1 0.408 0.408 0.137
As2 0.592 0.592 0.863
Pt1 0.500 0.500 0.500
```

## Properties
energy relative to the elements, uncorrected	-0.91	eV/atom
symmetry	C2/m (12)

=====

An optimized crystal structure of Ba2SbAs3Pt4, computed with PBE.

The structure in CIF format:
```
data_Ba2SbAs3Pt4
_symmetry_space_group_name_H-M 'P 1'
_symmetry_Int_Tables_number 1
_cell_length_a 4.661
_cell_length_b 4.661
_cell_length_c 10.317
_cell_angle_alpha 90.00
_cell_angle_beta 90.00
_cell_angle_gamma 90.00
loop_
_symmetry_equiv_pos_as_xyz
'x,y,z'
loop_
_atom_site_label
_atom_site_fract_x
_atom_site_fract_y
_atom_site_fract_z
Ba1 0.000 0.500 0.243
Ba2 0.500 0.000 0.757
Sb1 0.000 0.000 0.500
As1 0.000 0.500 0.878
As2 0.500 0.000 0.122
As3 0.500 0.500 0.500
Pt1 0.000 0.000 0.000
Pt2 0.000 0.500 0.626
Pt3 0.500 0.000 0.374
Pt4 0.500 0.500 0.000
```

## Properties
energy relative to the elements, uncorrected	-0.74	eV/atom
symmetry	P-4m2 (115)

=====

An optimized crystal structure of Ba2SbAsPt6, computed with PBE.

The structure in CIF format:
```
data_Ba2SbAsPt6
_symmetry_space_group_name_H-M 'P 1'
_symmetry_Int_Tables_number 1
_cell_length_a 6.900
_cell_length_b 6.900
_cell_length_c 8.497
_cell_angle_alpha 125.44
_cell_angle_beta 125.44
_cell_angle_gamma 49.41
loop_
_symmetry_equiv_pos_as_xyz
'x,y,z'
loop_
_atom_site_label
_atom_site_fract_x
_atom_site_fract_y
_atom_site_fract_z
Ba1 0.248 0.248 0.302
Ba2 0.752 0.752 0.698
Sb1 0.000 0.000 0.500
As1 0.500 0.500 0.000
Pt1 0.217 0.711 0.207
Pt2 0.253 0.253 0.873
Pt3 0.289 0.783 0.793
Pt4 0.711 0.217 0.207
Pt5 0.747 0.747 0.127
Pt6 0.783 0.289 0.793
```

## Properties
energy relative to the elements, uncorrected	-0.63	eV/atom
symmetry	C2/m (12)

=====

E_tot values (in eV/atom) by entry order: -4.83, -4.84, -5.33, -4.54, -5.67, -5.12, -5.55, -4.73, -4.57, -4.38, -5.35, -5.52.